# 1
The following is a GGA-PBE calculation of a geometry-optimized La2FeRuN structure, from Alexandria via LeMat-Bulk.

Values from the calculation:
Density of states at the Fermi level = 8.57 states/eV/f.u.
Total moment = 2.4 Bohr magnetons per cell
Polymorph energy (0 for the lowest one) = 133.3 meV/atom
Symmetry = No. 123

Unit cell a=5.212 b=5.212 c=3.839 alpha=90.00 beta=90.00 gamma=90.00
Fractional positions:
La: 0.000 0.500 0.000
La: 0.500 0.000 0.000
Fe: 0.000 0.000 0.500
Ru: 0.500 0.500 0.500
N: 0.500 0.500 0.000


# 2
The following is a GGA-PBE calculation of a geometry-optimized LaFeSN2 structure, from Alexandria via LeMat-Bulk.

Values from the calculation:
Density of states at the Fermi level = 3.40 states/eV/f.u.
Total moment = 3.0 Bohr magnetons per cell
Polymorph energy (0 for the lowest one) = 0.0 meV/atom
Symmetry = No. 123

Unit cell a=3.957 b=3.957 c=4.529 alpha=90.00 beta=90.00 gamma=90.00
Fractional positions:
La: 0.000 0.000 0.000
Fe: 0.500 0.500 0.500
S: 0.500 0.500 0.000
N: 0.000 0.500 0.500
N: 0.500 0.000 0.500


# 3
The following is a GGA-PBE calculation of a geometry-optimized LaFeSN2 structure, from Alexandria via LeMat-Bulk.

Values from the calculation:
Density of states at the Fermi level = 7.30 states/eV/f.u.
Total moment = 3.9 Bohr magnetons per cell
Polymorph energy (0 for the lowest one) = 1379.8 meV/atom
Symmetry = No. 123

Unit cell a=4.110 b=4.110 c=6.057 alpha=90.00 beta=90.00 gamma=90.00
Fractional positions:
La: 0.000 0.000 0.000
Fe: 0.500 0.500 0.500
S: 0.000 0.000 0.500
N: 0.000 0.500 0.000
N: 0.500 0.000 0.000


# 4
The following is a GGA-PBE calculation of a geometry-optimized LaScFe2N structure, from Alexandria via LeMat-Bulk.

Values from the calculation:
Density of states at the Fermi level = 11.58 states/eV/f.u.
Total moment = 4.5 Bohr magnetons per cell
Symmetry = No. 123

Unit cell a=5.005 b=5.005 c=4.221 alpha=90.00 beta=90.00 gamma=90.00
Fractional positions:
La: 0.000 0.000 0.000
Sc: 0.500 0.500 0.500
Fe: 0.000 0.500 0.000
Fe: 0.500 0.000 0.000
N: 0.000 0.000 0.500


# 5
The following is a GGA-PBE calculation of a geometry-optimized La2Fe2Si2N structure, from Alexandria via LeMat-Bulk.

Values from the calculation:
Density of states at the Fermi level = 4.54 states/eV/f.u.
Total moment = 0.0 Bohr magnetons per cell
Symmetry = No. 12

Unit cell a=5.834 b=5.834 c=7.070 alpha=124.35 beta=124.35 gamma=39.45
Fractional positions:
La: 0.057 0.057 0.300
La: 0.943 0.943 0.700
Fe: 0.313 0.313 0.927
Fe: 0.687 0.687 0.073
Si: 0.315 0.315 0.254
Si: 0.685 0.685 0.746
N: 0.500 0.500 0.000


# 6
The following is a GGA-PBE calculation of a geometry-optimized LaFeSi2N structure, from Alexandria via LeMat-Bulk.

Values from the calculation:
Density of states at the Fermi level = 4.70 states/eV/f.u.
Total moment = 1.8 Bohr magnetons per cell
Symmetry = No. 123

Unit cell a=4.106 b=4.106 c=4.808 alpha=90.00 beta=90.00 gamma=90.00
Fractional positions:
La: 0.000 0.000 0.000
Fe: 0.500 0.500 0.000
Si: 0.000 0.500 0.500
Si: 0.500 0.000 0.500
N: 0.000 0.000 0.500


# 7
The following is a GGA-PBE calculation of a geometry-optimized La2FeSnN structure, from Alexandria via LeMat-Bulk.

Values from the calculation:
Density of states at the Fermi level = 3.22 states/eV/f.u.
Total moment = 2.7 Bohr magnetons per cell
Symmetry = No. 123

Unit cell a=5.379 b=5.379 c=3.864 alpha=90.00 beta=90.00 gamma=90.00
Fractional positions:
La: 0.000 0.500 0.000
La: 0.500 0.000 0.000
Fe: 0.000 0.000 0.500
Sn: 0.500 0.500 0.500
N: 0.000 0.000 0.000


# 8
The following is a GGA-PBE calculation of a geometry-optimized La6FeSn2N structure, from Alexandria via LeMat-Bulk.

Values from the calculation:
Density of states at the Fermi level = 7.59 states/eV/f.u.
Total moment = 0.0 Bohr magnetons per cell
Symmetry = No. 8

Unit cell a=7.464 b=7.464 c=7.306 alpha=119.31 beta=119.31 gamma=91.77
Fractional positions:
La: 0.000 0.000 0.000
La: 0.000 0.000 0.495
La: 0.025 0.490 0.005
La: 0.490 0.025 0.005
La: 0.505 0.505 0.004
La: 0.505 0.505 0.501
Fe: 0.697 0.697 0.945
Sn: 0.000 0.498 0.496
Sn: 0.498 0.000 0.496
N: 0.226 0.226 0.974


Uncorrected formation energy per entry: -144, -147, 518, 604, -526, 122, -334, -564 kJ/mol of formula units